{
  "formula": "LiScBi",
  "functional": "PBE-GGA",
  "state": "relaxed",
  "crystal_system": "tetragonal",
  "delta_e_f_mev_per_atom": -225,
  "m_tot_mub_per_cell": 0.28,
  "relative_energy_mev_per_atom": 322.3,
  "cell": [[3.7497, 0.0000, 0.0000], [0.0000, 3.7497, 0.0000], [-1.8748, -1.8748, 4.9893]],
  "species": ["Sc", "Bi", "Li"],
  "fractional_positions": [[0.2856, 0.2856, 0.5712], [0.9639, 0.9639, 0.9278], [0.6005, 0.6005, 0.2010]]
}